{"formula": "NaCa3MgFeSi4O14", "functional": "SCAN", "state": "PBEsol geometry", "lattice": [[5.048, 0.000, 0.000], [0.045, 7.756, 0.000], [0.350, 0.070, 7.875]], "species": ["Na", "Ca", "Ca", "Ca", "Mg", "Fe", "Si", "Si", "Si", "Si", "O", "O", "O", "O", "O", "O", "O", "O", "O", "O", "O", "O", "O", "O"], "frac_coords": [[0.000, 0.000, 0.000], [0.006, 0.532, 0.852], [0.959, 0.832, 0.487], [0.988, 0.346, 0.316], [0.482, 0.677, 0.166], [0.498, 0.201, 0.666], [0.412, 0.549, 0.517], [0.445, 0.823, 0.800], [0.535, 0.045, 0.307], [0.558, 0.329, 0.027], [0.217, 0.054, 0.329], [0.241, 0.350, 0.037], [0.247, 0.595, 0.349], [0.261, 0.376, 0.602], [0.293, 0.750, 0.971], [0.306, 0.705, 0.649], [0.323, 0.016, 0.765], [0.661, 0.169, 0.149], [0.671, 0.859, 0.272], [0.691, 0.121, 0.473], [0.697, 0.296, 0.837], [0.724, 0.494, 0.095], [0.728, 0.536, 0.497], [0.763, 0.804, 0.781]], "spacegroup": "No. 1", "formation_energy_uncorrected_mev_per_atom": -2995, "dos_ef_per_ev_cell": 0.000}

{"formula": "NaCaMgFeSi4O12", "functional": "SCAN", "state": "PBEsol geometry", "lattice": [[4.879, -4.430, 0.000], [4.879, 4.430, 0.000], [-1.529, 0.000, 5.060]], "species": ["Na", "Ca", "Mg", "Fe", "Si", "Si", "Si", "Si", "O", "O", "O", "O", "O", "O", "O", "O", "O", "O", "O", "O"], "frac_coords": [[0.000, 0.000, 0.000], [0.400, 0.600, 0.500], [0.610, 0.390, 0.000], [0.805, 0.195, 0.500], [0.081, 0.494, 0.979], [0.322, 0.103, 0.516], [0.506, 0.919, 0.021], [0.897, 0.678, 0.484], [0.039, 0.660, 0.255], [0.071, 0.638, 0.751], [0.085, 0.196, 0.443], [0.315, 0.408, 0.067], [0.340, 0.961, 0.745], [0.362, 0.929, 0.249], [0.501, 0.270, 0.603], [0.592, 0.685, 0.933], [0.669, 0.102, 0.119], [0.730, 0.499, 0.397], [0.804, 0.915, 0.557], [0.898, 0.331, 0.881]], "spacegroup": "No. 5", "formation_energy_uncorrected_mev_per_atom": -2913, "dos_ef_per_ev_cell": 0.000}

{"formula": "CaMg30FeO32", "functional": "SCAN", "state": "PBEsol geometry", "lattice": [[8.482, 0.000, 0.000], [0.000, 8.482, 0.000], [0.000, 0.000, 8.490]], "species": ["Ca", "Mg", "Mg", "Mg", "Mg", "Mg", "Mg", "Mg", "Mg", "Mg", "Mg", "Mg", "Mg", "Mg", "Mg", "Mg", "Mg", "Mg", "Mg", "Mg", "Mg", "Mg", "Mg", "Mg", "Mg", "Mg", "Mg", "Mg", "Mg", "Mg", "Mg", "Fe", "O", "O", "O", "O", "O", "O", "O", "O", "O", "O", "O", "O", "O", "O", "O", "O", "O", "O", "O", "O", "O", "O", "O", "O", "O", "O", "O", "O", "O", "O", "O", "O"], "frac_coords": [[0.000, 0.000, 0.000], [0.000, 0.000, 0.500], [0.000, 0.253, 0.253], [0.000, 0.253, 0.747], [0.000, 0.500, 0.000], [0.000, 0.500, 0.500], [0.000, 0.747, 0.253], [0.000, 0.747, 0.747], [0.250, 0.250, 0.500], [0.250, 0.750, 0.500], [0.251, 0.500, 0.250], [0.251, 0.500, 0.750], [0.253, 0.000, 0.253], [0.253, 0.000, 0.747], [0.253, 0.253, 0.000], [0.253, 0.747, 0.000], [0.500, 0.000, 0.000], [0.500, 0.000, 0.500], [0.500, 0.251, 0.250], [0.500, 0.251, 0.750], [0.500, 0.500, 0.500], [0.500, 0.749, 0.250], [0.500, 0.749, 0.750], [0.747, 0.000, 0.253], [0.747, 0.000, 0.747], [0.747, 0.253, 0.000], [0.747, 0.747, 0.000], [0.749, 0.500, 0.250], [0.749, 0.500, 0.750], [0.750, 0.250, 0.500], [0.750, 0.750, 0.500], [0.500, 0.500, 0.000], [0.000, 0.000, 0.262], [0.000, 0.000, 0.738], [0.000, 0.252, 0.500], [0.000, 0.262, 0.000], [0.000, 0.500, 0.252], [0.000, 0.500, 0.748], [0.000, 0.738, 0.000], [0.000, 0.748, 0.500], [0.249, 0.500, 0.000], [0.250, 0.250, 0.250], [0.250, 0.250, 0.750], [0.250, 0.500, 0.500], [0.250, 0.750, 0.250], [0.250, 0.750, 0.750], [0.252, 0.000, 0.500], [0.262, 0.000, 0.000], [0.500, 0.000, 0.252], [0.500, 0.000, 0.748], [0.500, 0.249, 0.000], [0.500, 0.250, 0.500], [0.500, 0.500, 0.255], [0.500, 0.500, 0.745], [0.500, 0.750, 0.500], [0.500, 0.751, 0.000], [0.738, 0.000, 0.000], [0.748, 0.000, 0.500], [0.750, 0.250, 0.250], [0.750, 0.250, 0.750], [0.750, 0.500, 0.500], [0.750, 0.750, 0.250], [0.750, 0.750, 0.750], [0.751, 0.500, 0.000]], "spacegroup": "No. 123", "formation_energy_uncorrected_mev_per_atom": -2943, "dos_ef_per_ev_cell": 7.291}

{"formula": "Ca2MgFeSi4O12", "functional": "SCAN", "state": "PBEsol geometry", "lattice": [[4.914, -4.457, 0.000], [4.914, 4.457, 0.000], [-1.396, 0.000, 5.071]], "species": ["Ca", "Ca", "Mg", "Fe", "Si", "Si", "Si", "Si", "O", "O", "O", "O", "O", "O", "O", "O", "O", "O", "O", "O"], "frac_coords": [[0.000, 0.000, 0.000], [0.599, 0.401, 0.500], [0.212, 0.788, 0.500], [0.396, 0.604, 0.000], [0.108, 0.316, 0.517], [0.494, 0.078, 0.981], [0.684, 0.892, 0.483], [0.922, 0.506, 0.019], [0.096, 0.673, 0.108], [0.189, 0.083, 0.425], [0.272, 0.492, 0.598], [0.327, 0.904, 0.892], [0.411, 0.311, 0.073], [0.508, 0.728, 0.402], [0.635, 0.070, 0.747], [0.671, 0.030, 0.245], [0.689, 0.589, 0.927], [0.917, 0.811, 0.575], [0.930, 0.365, 0.253], [0.970, 0.329, 0.755]], "spacegroup": "No. 5", "formation_energy_uncorrected_mev_per_atom": -3026}

{"formula": "CaMn2Fe2", "functional": "SCAN", "state": "PBEsol geometry", "lattice": [[-1.944, 1.944, 4.577], [1.944, -1.944, 4.577], [1.944, 1.944, -4.577]], "species": ["Ca", "Mn", "Mn", "Fe", "Fe"], "frac_coords": [[0.000, 0.000, 0.000], [0.250, 0.750, 0.500], [0.750, 0.250, 0.500], [0.369, 0.369, 0.000], [0.631, 0.631, 0.000]], "spacegroup": "No. 139", "e_form_mev_per_atom": 426.1, "dos_ef_per_ev_cell": 4.546}

{"formula": "CaMnFe", "functional": "SCAN", "state": "PBEsol geometry", "lattice": [[-1.541, 1.541, 5.243], [1.541, -1.541, 5.243], [1.541, 1.541, -5.243]], "species": ["Ca", "Mn", "Fe"], "frac_coords": [[0.000, 0.000, 0.000], [0.286, 0.286, 0.000], [0.705, 0.705, 0.000]], "spacegroup": "No. 107", "e_form_mev_per_atom": 450.3, "dos_ef_per_ev_cell": 2.423}

{"formula": "CaMnFe", "functional": "SCAN", "state": "PBEsol geometry", "lattice": [[0.000, 3.220, 3.220], [3.220, 0.000, 3.220], [3.220, 3.220, 0.000]], "species": ["Ca", "Mn", "Fe"], "frac_coords": [[0.000, 0.000, 0.000], [0.250, 0.250, 0.250], [0.750, 0.750, 0.750]], "spacegroup": "No. 216", "e_form_mev_per_atom": 1211.8, "dos_ef_per_ev_cell": 1.816}

{"formula": "Ca2MnFe", "functional": "SCAN", "state": "PBEsol geometry", "lattice": [[-2.368, 2.368, 3.887], [2.368, -2.368, 3.887], [2.368, 2.368, -3.887]], "species": ["Ca", "Ca", "Mn", "Fe"], "frac_coords": [[0.250, 0.750, 0.500], [0.750, 0.250, 0.500], [0.000, 0.000, 0.000], [0.500, 0.500, 0.000]], "spacegroup": "No. 139", "e_form_mev_per_atom": 467.2, "relative_energy_ev_per_atom": 0.1240, "dos_ef_per_ev_cell": 4.090}

{"formula": "CaMnFe", "functional": "SCAN", "state": "PBEsol geometry", "lattice": [[4.499, 0.000, 0.000], [-2.250, 3.897, 0.000], [0.000, 0.000, 2.966]], "species": ["Ca", "Mn", "Fe"], "frac_coords": [[0.000, 0.000, 0.000], [0.333, 0.667, 0.500], [0.667, 0.333, 0.500]], "spacegroup": "No. 187", "e_form_mev_per_atom": 496.5, "dos_ef_per_ev_cell": 1.549}

{"formula": "Ca2MnFe", "functional": "SCAN", "state": "PBEsol geometry", "lattice": [[3.241, 0.000, 0.000], [0.000, 3.241, 0.000], [0.000, 0.000, 8.198]], "species": ["Ca", "Ca", "Mn", "Fe"], "frac_coords": [[0.000, 0.000, 0.000], [0.500, 0.500, 0.400], [0.000, 0.000, 0.653], [0.500, 0.500, 0.751]], "spacegroup": "No. 99", "e_form_mev_per_atom": 343.2, "relative_energy_ev_per_atom": 0.0000, "dos_ef_per_ev_cell": 3.701}

{"formula": "Ca2MnFe", "functional": "SCAN", "state": "PBEsol geometry", "lattice": [[5.454, -1.562, 0.000], [5.454, 1.562, 0.000], [-1.820, 0.000, 4.895]], "species": ["Ca", "Ca", "Mn", "Fe"], "frac_coords": [[0.000, 0.000, 0.000], [0.196, 0.196, 0.646], [0.779, 0.779, 0.224], [0.432, 0.432, 0.447]], "spacegroup": "No. 8", "e_form_mev_per_atom": 410.6, "relative_energy_ev_per_atom": 0.0674, "dos_ef_per_ev_cell": 3.445}

{"formula": "Ca2MnFe", "functional": "SCAN", "state": "PBEsol geometry", "lattice": [[4.763, 0.000, 0.000], [0.000, 4.763, 0.000], [0.000, 0.000, 3.840]], "species": ["Ca", "Ca", "Mn", "Fe"], "frac_coords": [[0.000, 0.500, 0.000], [0.500, 0.000, 0.000], [0.000, 0.000, 0.500], [0.500, 0.500, 0.500]], "spacegroup": "No. 123", "e_form_mev_per_atom": 463.3, "relative_energy_ev_per_atom": 0.1201, "dos_ef_per_ev_cell": 3.261}

{"formula": "CaFe2Mo", "functional": "SCAN", "state": "PBEsol geometry", "lattice": [[4.383, 0.000, 0.000], [0.000, 4.383, 0.000], [0.000, 0.000, 2.938]], "species": ["Ca", "Fe", "Fe", "Mo"], "frac_coords": [[0.000, 0.000, 0.000], [0.000, 0.500, 0.500], [0.500, 0.000, 0.500], [0.500, 0.500, 0.000]], "spacegroup": "No. 123", "e_form_mev_per_atom": 849.2, "dos_ef_per_ev_cell": 2.019}

{"formula": "Ca2FeMo", "functional": "SCAN", "state": "PBEsol geometry", "lattice": [[2.895, -4.794, 0.000], [2.895, 4.794, 0.000], [-0.013, 0.000, 2.818]], "species": ["Ca", "Ca", "Fe", "Mo"], "frac_coords": [[0.000, 0.500, 0.000], [0.500, 0.000, 0.000], [0.000, 0.000, 0.500], [0.500, 0.500, 0.500]], "spacegroup": "No. 12", "e_form_mev_per_atom": 940.0, "dos_ef_per_ev_cell": 3.858}

{"formula": "Ca3FeN3", "functional": "SCAN", "state": "PBEsol geometry", "lattice": [[7.107, 0.000, 0.000], [-3.553, 6.155, 0.000], [0.000, 0.000, 4.923]], "species": ["Ca", "Ca", "Ca", "Ca", "Ca", "Ca", "Fe", "Fe", "N", "N", "N", "N", "N", "N"], "frac_coords": [[0.086, 0.360, 0.250], [0.274, 0.914, 0.250], [0.360, 0.274, 0.750], [0.640, 0.726, 0.250], [0.726, 0.086, 0.750], [0.914, 0.640, 0.750], [0.333, 0.667, 0.750], [0.667, 0.333, 0.250], [0.104, 0.411, 0.750], [0.307, 0.896, 0.750], [0.411, 0.307, 0.250], [0.589, 0.693, 0.750], [0.693, 0.104, 0.250], [0.896, 0.589, 0.250]], "spacegroup": "No. 176", "formation_energy_uncorrected_mev_per_atom": -960, "dos_ef_per_ev_cell": 4.238}

{"formula": "Ca3Fe3N5", "functional": "SCAN", "state": "PBEsol geometry", "lattice": [[5.386, 0.000, 0.000], [-0.591, 6.664, 0.000], [-1.960, -2.826, 7.449]], "species": ["Ca", "Ca", "Ca", "Ca", "Ca", "Ca", "Fe", "Fe", "Fe", "Fe", "Fe", "Fe", "N", "N", "N", "N", "N", "N", "N", "N", "N", "N"], "frac_coords": [[0.160, 0.170, 0.203], [0.163, 0.366, 0.876], [0.319, 0.918, 0.616], [0.681, 0.082, 0.384], [0.837, 0.634, 0.124], [0.840, 0.830, 0.797], [0.182, 0.450, 0.567], [0.398, 0.614, 0.295], [0.407, 0.822, 0.974], [0.593, 0.178, 0.026], [0.602, 0.386, 0.705], [0.818, 0.550, 0.433], [0.135, 0.562, 0.385], [0.248, 0.036, 0.911], [0.312, 0.727, 0.127], [0.321, 0.204, 0.511], [0.429, 0.616, 0.777], [0.571, 0.384, 0.223], [0.679, 0.796, 0.489], [0.688, 0.273, 0.873], [0.752, 0.964, 0.089], [0.865, 0.438, 0.615]], "spacegroup": "No. 2", "formation_energy_uncorrected_mev_per_atom": -682, "dos_ef_per_ev_cell": 4.704}

{"formula": "Ca11Fe2N10", "functional": "SCAN", "state": "PBEsol geometry", "lattice": [[3.124, -5.139, 0.000], [3.124, 5.139, 0.000], [-0.916, 0.000, 12.200]], "species": ["Ca", "Ca", "Ca", "Ca", "Ca", "Ca", "Ca", "Ca", "Ca", "Ca", "Ca", "Fe", "Fe", "N", "N", "N", "N", "N", "N", "N", "N", "N", "N"], "frac_coords": [[0.000, 0.000, 0.000], [0.168, 0.761, 0.245], [0.210, 0.814, 0.500], [0.369, 0.982, 0.760], [0.403, 0.786, 0.992], [0.554, 0.554, 0.378], [0.761, 0.168, 0.245], [0.767, 0.767, 0.744], [0.786, 0.403, 0.992], [0.814, 0.210, 0.500], [0.982, 0.369, 0.760], [0.350, 0.350, 0.621], [0.411, 0.411, 0.131], [0.051, 0.718, 0.876], [0.079, 0.079, 0.632], [0.129, 0.416, 0.112], [0.341, 0.626, 0.646], [0.416, 0.129, 0.112], [0.519, 0.918, 0.375], [0.626, 0.341, 0.646], [0.680, 0.680, 0.111], [0.718, 0.051, 0.876], [0.918, 0.519, 0.375]], "spacegroup": "No. 8", "formation_energy_uncorrected_mev_per_atom": -930}

{"formula": "Ca6FeN5", "functional": "SCAN", "state": "PBEsol geometry", "lattice": [[6.169, 0.000, 0.000], [-3.085, 5.343, 0.000], [0.000, 0.000, 12.099]], "species": ["Ca", "Ca", "Ca", "Ca", "Ca", "Ca", "Ca", "Ca", "Ca", "Ca", "Ca", "Ca", "Fe", "Fe", "N", "N", "N", "N", "N", "N", "N", "N", "N", "N"], "frac_coords": [[0.000, 0.396, 0.121], [0.000, 0.396, 0.379], [0.000, 0.604, 0.621], [0.000, 0.604, 0.879], [0.396, 0.000, 0.121], [0.396, 0.000, 0.379], [0.396, 0.396, 0.621], [0.396, 0.396, 0.879], [0.604, 0.000, 0.621], [0.604, 0.000, 0.879], [0.604, 0.604, 0.121], [0.604, 0.604, 0.379], [0.000, 0.000, 0.250], [0.000, 0.000, 0.750], [0.000, 0.287, 0.750], [0.000, 0.713, 0.250], [0.287, 0.000, 0.750], [0.287, 0.287, 0.250], [0.333, 0.667, 0.000], [0.333, 0.667, 0.500], [0.667, 0.333, 0.000], [0.667, 0.333, 0.500], [0.713, 0.000, 0.250], [0.713, 0.713, 0.750]], "spacegroup": "No. 193", "formation_energy_uncorrected_mev_per_atom": -984, "dos_ef_per_ev_cell": 7.007}

{"formula": "Na2CaFe", "functional": "SCAN", "state": "PBEsol geometry", "lattice": [[0.000, 3.708, 3.708], [3.708, 0.000, 3.708], [3.708, 3.708, 0.000]], "species": ["Na", "Na", "Ca", "Fe"], "frac_coords": [[0.250, 0.250, 0.250], [0.750, 0.750, 0.750], [0.000, 0.000, 0.000], [0.500, 0.500, 0.500]], "spacegroup": "No. 225", "e_form_mev_per_atom": 573.3, "dos_ef_per_ev_cell": 1.669}